Entry 1:
A plane-wave DFT calculation with GGA-PBE was carried out for TlRe2Tc after structural relaxation.

space group: Cmmm, No. 65
spin magnetization: 0.0 μB/f.u.
E_form: 778 meV per atom
calculated total energy: -34.5 eV for the cell shown
energy above the most stable polymorph in this dataset: 288 meV per atom
density: 16.5 Mg/m³

```
TlRe2Tc
1.0
1.4792 -2.3928 0.0000
1.4792 2.3928 0.0000
0.0000 0.0000 9.6173
Tl Re Tc
1 2 1
Direct
0.0000 0.0000 0.0000
0.5000 0.5000 0.2737
0.5000 0.5000 0.7263
0.0000 0.0000 0.5000
```

---

Entry 2:
A plane-wave DFT calculation with GGA-PBE was carried out for TlRe2Tc after structural relaxation.

space group: Pmmm, No. 47
spin magnetization: 0.0 μB/f.u.
E_form: 645 meV per atom
calculated total energy: -35.0 eV for the cell shown
energy above the most stable polymorph in this dataset: 155 meV per atom
density: 16.6 Mg/m³

```
TlRe2Tc
1.0
2.8799 0.0000 0.0000
0.0000 4.0495 0.0000
0.0000 0.0000 5.8047
Tl Re Tc
1 2 1
Direct
0.0000 0.0000 0.0000
0.5000 0.5000 0.2925
0.5000 0.5000 0.7075
0.0000 0.0000 0.5000
```

---

Entry 3:
A plane-wave DFT calculation with GGA-PBE was carried out for TlReTc2 after structural relaxation.

space group: Cmmm, No. 65
spin magnetization: 0.0 μB/f.u.
E_form: 642 meV per atom
calculated total energy: -33.0 eV for the cell shown
energy above the most stable polymorph in this dataset: 244 meV per atom
density: 14.4 Mg/m³

```
TlReTc2
1.0
1.5105 -2.4092 0.0000
1.5105 2.4092 0.0000
0.0000 0.0000 9.2954
Tl Re Tc
1 1 2
Direct
0.0000 0.0000 0.0000
0.0000 0.0000 0.5000
0.5000 0.5000 0.2717
0.5000 0.5000 0.7283
```

---

Entry 4:
A plane-wave DFT calculation with GGA-PBE was carried out for TlRe2Tc after structural relaxation.

space group: Fm-3m, No. 225
spin magnetization: 0.0 μB/f.u.
E_form: 989 meV per atom
calculated total energy: -33.7 eV for the cell shown
energy above the most stable polymorph in this dataset: 499 meV per atom
density: 17.0 Mg/m³

```
TlRe2Tc
1.0
0.0000 3.2090 3.2090
3.2090 0.0000 3.2090
3.2090 3.2090 0.0000
Tl Re Tc
1 2 1
Direct
0.0000 0.0000 0.0000
0.2500 0.2500 0.2500
0.7500 0.7500 0.7500
0.5000 0.5000 0.5000
```

---

Entry 5:
A plane-wave DFT calculation with GGA-PBE was carried out for TlReTc2 after structural relaxation.

space group: P4/mmm, No. 123
spin magnetization: 0.7 μB/f.u.
E_form: 752 meV per atom
calculated total energy: -32.5 eV for the cell shown
energy above the most stable polymorph in this dataset: 355 meV per atom
density: 14.8 Mg/m³

```
TlReTc2
1.0
4.5765 0.0000 0.0000
0.0000 4.5765 0.0000
0.0000 0.0000 3.1331
Tl Re Tc
1 1 2
Direct
0.0000 0.0000 0.0000
0.5000 0.5000 0.0000
0.0000 0.5000 0.5000
0.5000 0.0000 0.5000
```

---

Entry 6:
A plane-wave DFT calculation with GGA-PBE was carried out for TlRe2Tc after structural relaxation.

space group: I-42d, No. 122
spin magnetization: 0.0 μB/f.u.
E_form: 1169 meV per atom
calculated total energy: -65.9 eV for the cell shown
energy above the most stable polymorph in this dataset: 679 meV per atom
density: 14.8 Mg/m³

```
TlRe2Tc
1.0
-3.7685 3.7685 2.6598
3.7685 -3.7685 2.6598
3.7685 3.7685 -2.6598
Tl Re Tc
2 4 2
Direct
0.0000 0.0000 0.0000
0.7500 0.2500 0.5000
0.1831 0.6250 0.0581
0.3750 0.4331 0.5581
0.5669 0.1250 0.9419
0.8750 0.8169 0.4419
0.2500 0.7500 0.5000
0.5000 0.5000 0.0000
```

---

Entry 7:
A plane-wave DFT calculation with GGA-PBE was carried out for TlReTc2 after structural relaxation.

space group: Pmmm, No. 47
spin magnetization: 0.0 μB/f.u.
E_form: 501 meV per atom
calculated total energy: -33.5 eV for the cell shown
energy above the most stable polymorph in this dataset: 104 meV per atom
density: 14.5 Mg/m³

```
TlReTc2
1.0
2.8805 0.0000 0.0000
0.0000 3.9507 0.0000
0.0000 0.0000 5.9169
Tl Re Tc
1 1 2
Direct
0.0000 0.0000 0.0000
0.0000 0.0000 0.5000
0.5000 0.5000 0.2934
0.5000 0.5000 0.7066
```

---

Entry 8:
A plane-wave DFT calculation with GGA-PBE was carried out for TlRe2Tc after structural relaxation.

space group: I4/mmm, No. 139
spin magnetization: 0.0 μB/f.u.
E_form: 793 meV per atom
calculated total energy: -34.5 eV for the cell shown
energy above the most stable polymorph in this dataset: 303 meV per atom
density: 17.1 Mg/m³

```
TlRe2Tc
1.0
-1.9354 1.9354 4.3643
1.9354 -1.9354 4.3643
1.9354 1.9354 -4.3643
Tl Re Tc
1 2 1
Direct
0.0000 0.0000 0.0000
0.2500 0.7500 0.5000
0.7500 0.2500 0.5000
0.5000 0.5000 0.0000
```